A relaxed structure of Ac9Pm2Sm. Source: the Alexandria database, functional PBE-GGA.

As for the density of states at the Fermi level: 19.985 states/eV/f.u. Its formation energy is 0.025 eV/atom.

It has space group P4/mmm (No. 123), with a = 5.5197 Å, b = 5.5197 Å, c = 16.5565 Å, α = 90.00°, β = 90.00° and γ = 90.00°. The distinct sites, in fractional coordinates, are Ac at (0.0000, 0.0000, 0.0000), Ac at (0.0000, 0.0000, 0.3333), Ac at (0.0000, 0.5000, 0.1665), Ac at (0.0000, 0.5000, 0.5000), Pm at (0.5000, 0.5000, 0.3332) and Sm at (0.5000, 0.5000, 0.0000).